Here is crystalline Ag4Pt at its relaxed geometry from Alexandria via LeMat-Bulk. Energies are from PBEsol.

Structure (POSCAR):
```
Ag4Pt
1.0
-1.8133 1.8133 6.8361
1.8133 -1.8133 6.8361
1.8133 1.8133 -6.8361
Ag Pt
4 1
direct
0.0951 0.0951 0.0000
0.2500 0.7500 0.5000
0.7500 0.2500 0.5000
0.9049 0.9049 0.0000
0.5000 0.5000 0.0000
```

Calculated total energy (eV per cell): -18.0
Calculated formation energy (eV/atom): 0.45
Total moment (μB per formula unit): 0.0
Energy relative to the lowest polymorph listed for this composition (meV per atom): 463.5
SG: I4/mmm